The following is a DFT calculation (PBE) of Ti3MnAl3Co2 after structural relaxation.

The structure in POSCAR format:
```
Ti3MnAl3Co2
1.0
-0.561 -1.327 2.524
-0.777 -6.140 -3.400
6.351 1.918 2.419
Ti Al Co Mn
3 3 2 1
Cartesian
1.257 -1.828 0.992 Ti
-0.843 -5.110 -1.200 Ti
4.319 0.725 3.014 Ti
3.450 -2.613 -0.607 Al
2.420 0.731 0.922 Al
-0.296 -2.340 -1.296 Al
3.695 -1.432 1.742 Co
1.319 -4.118 -0.198 Co
0.000 0.000 0.000 Mn
```

Magnetization   0.000 μB per formula unit
D(E_F)   5.3 states/eV/f.u.
Energy relative to the elements   -408 meV/atom

---

The following is a DFT calculation (PBE) of La2Re2Si2B after structural relaxation.

The structure in POSCAR format:
```
La2Re2Si2B
1.0
-2.761 -3.085 0.457
2.235 -5.115 -2.050
1.535 -3.434 5.067
Re Si La B
2 2 2 1
Cartesian
-1.269 -4.478 0.066 Re
2.278 -7.157 3.408 Re
0.025 -8.061 2.670 Si
0.984 -3.573 0.804 Si
-0.192 -4.941 3.442 La
1.201 -6.693 0.032 La
0.000 0.000 0.000 B
```

Formation energy from raw total energies   -0.521 eV/atom
Magnetization   0.000 μB per formula unit
D(E_F)   3.9 states/eV/f.u.

---

The following is a DFT calculation (PBE) of NbVFe2 after structural relaxation.

The structure in POSCAR format:
```
NbVFe2
1.0
-0.540 -0.557 -2.902
-3.935 -1.169 0.957
-1.307 3.973 -0.520
Fe Nb V
2 1 1
Cartesian
-0.654 1.987 -0.260 Fe
-1.967 -0.585 0.479 Fe
-0.270 -0.279 -1.451 Nb
-2.891 1.123 -1.233 V
```

Magnetization   1.727 μB per formula unit
D(E_F)   4.2 states/eV/f.u.
Energy relative to the elements   -36 meV/atom